A geometry-optimized KY2Hg2 structure. Source: Alexandria, functional GGA-PBE.

a b c (Å): 9.166 9.166 3.499
angles (deg): 90.00 90.00 90.00
Fractional coordinates of all 10 atoms:
K 0.000 0.000 0.000
K 0.500 0.500 0.000
Y 0.132 0.368 0.000
Y 0.368 0.868 0.000
Y 0.632 0.132 0.000
Y 0.868 0.632 0.000
Hg 0.164 0.664 0.500
Hg 0.336 0.164 0.500
Hg 0.664 0.836 0.500
Hg 0.836 0.336 0.500

Calculated values
Its formation energy is -0.200 eV/atom. The energy relative to the lowest polymorph listed for this composition comes out at 0.00 eV/f.u.

---

A geometry-optimized La4GeAsSe2 structure. Source: Alexandria, functional GGA-PBE.

a b c (Å): 7.565 4.375 7.573
angles (deg): 90.00 109.48 90.00
Fractional coordinates of all 8 atoms:
La 0.241 0.000 0.246
La 0.241 0.500 0.748
La 0.759 0.000 0.754
La 0.759 0.500 0.252
Ge 0.000 0.500 0.000
As 0.000 0.000 0.500
Se 0.500 0.000 0.000
Se 0.500 0.500 0.500

Calculated values
For the raw formation energy, the calculation gives -1662 meV per atom.

---

A geometry-optimized GeTe5Pd4 structure. Source: Alexandria, functional GGA-PBE.

a b c (Å): 9.005 9.005 7.017
angles (deg): 102.52 102.52 26.46
Fractional coordinates of all 10 atoms:
Ge 0.000 0.000 0.000
Te 0.000 0.000 0.500
Te 0.342 0.342 0.668
Te 0.343 0.343 0.151
Te 0.657 0.657 0.849
Te 0.658 0.658 0.332
Pd 0.159 0.159 0.092
Pd 0.499 0.499 0.778
Pd 0.501 0.501 0.222
Pd 0.841 0.841 0.908

Calculated values
For the raw formation energy, the calculation gives -264 meV per atom.

---

A geometry-optimized Mg12Cd6Sn structure. Source: Alexandria, functional GGA-PBE.

a b c (Å): 8.334 8.334 8.334
angles (deg): 110.93 110.93 110.93
Fractional coordinates of all 19 atoms:
Mg 0.026 0.180 0.292
Mg 0.180 0.292 0.026
Mg 0.236 0.664 0.606
Mg 0.292 0.026 0.180
Mg 0.336 0.394 0.764
Mg 0.394 0.764 0.336
Mg 0.606 0.236 0.664
Mg 0.664 0.606 0.236
Mg 0.708 0.974 0.820
Mg 0.764 0.336 0.394
Mg 0.820 0.708 0.974
Mg 0.974 0.820 0.708
Cd 0.074 0.553 0.861
Cd 0.139 0.926 0.447
Cd 0.447 0.139 0.926
Cd 0.553 0.861 0.074
Cd 0.861 0.074 0.553
Cd 0.926 0.447 0.139
Sn 0.500 0.500 0.500

Calculated values
Its formation energy is -0.089 eV/atom.